Compound: NdCu3Se2ClO8
Source: Alexandria
Functional: PBEsol
Structure: optimized geometry Values from VASP.

```
&SYSTEM
  ibrav = 0, nat = 30, ntyp = 5
/
ATOMIC_SPECIES
O 16.00 O.upf
Nd 144.24 Nd.upf
Cl 35.45 Cl.upf
Se 78.96 Se.upf
Cu 63.55 Cu.upf
CELL_PARAMETERS angstrom
-4.611 -4.195 1.102
4.624 -4.252 3.164
-1.856 4.255 8.432
ATOMIC_POSITIONS crystal
O 0.212 0.742 0.334
O 0.712 0.258 0.166
O 0.712 0.258 0.834
O 0.500 0.010 0.359
O 0.000 0.990 0.141
O 0.288 0.258 0.834
O 0.212 0.742 0.666
O 0.000 0.579 0.128
O 0.500 0.010 0.641
O 0.788 0.742 0.666
O 0.500 0.421 0.628
O 0.500 0.421 0.372
O 0.000 0.579 0.872
O 0.788 0.742 0.334
O 0.288 0.258 0.166
O 0.000 0.990 0.859
Nd 0.500 0.734 0.500
Nd 0.000 0.266 0.000
Cl 0.500 0.851 0.000
Cl 0.000 0.149 0.500
Se 0.000 0.593 0.306
Se 0.500 0.407 0.194
Se 0.500 0.407 0.806
Se 0.000 0.593 0.694
Cu 0.500 0.204 0.500
Cu 0.750 0.000 0.250
Cu 0.000 0.796 0.000
Cu 0.250 0.000 0.750
Cu 0.250 0.000 0.250
Cu 0.750 0.000 0.750
```

Its space group is Pmmn, No. 59. The calculation puts the energy at -0.42877 Ry per atom. As for the energy relative to the elements, uncorrected: -1.18 eV/atom. For the density of states at the Fermi level, the calculation gives 0.581 states/eV/f.u.



Compound: CsMg3S
Source: Alexandria
Functional: PBEsol
Structure: optimized geometry Values from VASP.

```
&SYSTEM
  ibrav = 0, nat = 5, ntyp = 3
/
ATOMIC_SPECIES
Cs 132.91 Cs.upf
S 32.06 S.upf
Mg 24.30 Mg.upf
CELL_PARAMETERS angstrom
-1.134 -1.246 -6.848
6.915 -0.996 -0.964
-0.797 -6.869 1.382
ATOMIC_POSITIONS crystal
Cs 0.000 0.000 0.000
S 0.500 0.500 0.500
Mg 0.000 0.000 0.500
Mg 0.500 0.000 0.000
Mg 0.000 0.500 0.000
```

Its space group is Pm-3m, No. 221. The calculation puts the energy at -0.05853 Ry per atom. As for the energy relative to the elements, uncorrected: 1.30 eV/atom. For the density of states at the Fermi level, the calculation gives 9.316 states/eV/f.u.



Compound: ZnRe2AuBr
Source: Alexandria
Functional: PBEsol
Structure: optimized geometry Values from VASP.

```
&SYSTEM
  ibrav = 0, nat = 5, ntyp = 4
/
ATOMIC_SPECIES
Au 196.97 Au.upf
Re 186.21 Re.upf
Br 79.90 Br.upf
Zn 65.41 Zn.upf
CELL_PARAMETERS angstrom
4.537 0.000 0.000
0.000 4.537 0.000
0.000 0.000 4.851
ATOMIC_POSITIONS crystal
Au 0.000 0.000 0.500
Re 0.000 0.500 0.000
Re 0.500 0.000 0.000
Br 0.000 0.000 0.000
Zn 0.500 0.500 0.500
```

Its space group is P4/mmm, No. 123. The calculation puts the energy at -0.33326 Ry per atom. As for the energy relative to the elements, uncorrected: 2.27 eV/atom. For the density of states at the Fermi level, the calculation gives 4.733 states/eV/f.u.



Compound: CrNi5
Source: Alexandria
Functional: PBEsol
Structure: optimized geometry Values from VASP.

```
&SYSTEM
  ibrav = 0, nat = 6, ntyp = 2
/
ATOMIC_SPECIES
Ni 58.69 Ni.upf
Cr 52.00 Cr.upf
CELL_PARAMETERS angstrom
2.445 0.000 0.000
0.000 3.993 0.000
-1.223 0.000 6.396
ATOMIC_POSITIONS crystal
Ni 0.558 0.500 0.116
Ni 0.223 0.500 0.446
Ni 0.333 0.000 0.666
Ni 0.891 0.500 0.782
Ni 0.664 0.000 0.329
Cr 0.997 0.000 0.995
```

Its space group is Amm2, No. 38. The value obtained for the formation energy from the elements is 0.1 eV/f.u. The calculation puts the energy at -0.50119 Ry per atom. For the density of states at the Fermi level, the calculation gives 10.166 states/eV/f.u.